DFT (GGA-PBE) results for Er3Mg2Tc after structural relaxation.

The structure in POSCAR format:
```
Er3Mg2Tc
1.0
5.003 0.000 0.021
2.502 7.416 0.011
-0.033 0.000 7.927
Mg Er Tc
4 6 2
Direct
0.000 0.000 0.000
0.334 0.331 0.500
0.000 0.000 0.500
0.666 0.669 0.500
0.825 0.350 0.792
0.175 0.650 0.208
0.825 0.350 0.208
0.500 0.000 0.217
0.500 0.000 0.783
0.175 0.650 0.792
0.660 0.681 0.000
0.340 0.319 0.000
```

Values from the calculation:
- Total moment: 0.0 μB per formula unit
- Calculated formation energy: -0.0994 eV per atom